{"formula": "NiHRh3", "functional": "PBE", "state": "optimized geometry", "e_above_lowest_polymorph_ev_per_fu": 8.29, "sg": "No. 221", "m_tot_mub_per_fu": 4.66, "cell": [[4.498, 0.000, 0.000], [0.000, 4.498, 0.000], [0.000, 0.000, 4.498]], "species": ["Ni", "H", "Rh", "Rh", "Rh"], "frac_coords": [[0.000, 0.000, 0.000], [0.500, 0.500, 0.500], [0.000, 0.000, 0.500], [0.000, 0.500, 0.000], [0.500, 0.000, 0.000]]}



{"formula": "Ce2ReI", "functional": "PBE", "state": "optimized geometry", "raw_formation_energy_ev_per_atom": -0.30, "e_above_lowest_polymorph_ev_per_fu": 0.21, "sg": "No. 123", "m_tot_mub_per_fu": 1.37, "cell": [[3.495, 0.000, 0.000], [0.000, 3.495, 0.000], [0.000, 0.000, 8.416]], "species": ["Ce", "Ce", "Re", "I"], "frac_coords": [[0.000, 0.000, 0.205], [0.000, 0.000, 0.795], [0.500, 0.500, 0.000], [0.500, 0.500, 0.500]]}



{"formula": "AcTb4Zn5", "functional": "PBE", "state": "optimized geometry", "sg": "No. 123", "formation_enthalpy_0k_mev_per_atom": -304, "m_tot_mub_per_fu": 0.00, "cell": [[3.645, 0.000, 0.000], [0.000, 3.645, 0.000], [0.000, 0.000, 18.264]], "species": ["Ac", "Tb", "Tb", "Tb", "Tb", "Zn", "Zn", "Zn", "Zn", "Zn"], "frac_coords": [[0.000, 0.000, 0.000], [0.000, 0.000, 0.211], [0.000, 0.000, 0.404], [0.000, 0.000, 0.596], [0.000, 0.000, 0.789], [0.500, 0.500, 0.120], [0.500, 0.500, 0.307], [0.500, 0.500, 0.500], [0.500, 0.500, 0.693], [0.500, 0.500, 0.880]]}



{"formula": "SmInPt4", "functional": "PBE", "state": "optimized geometry", "sg": "No. 216", "formation_enthalpy_0k_mev_per_atom": -818, "m_tot_mub_per_fu": 0.00, "cell": [[0.000, 3.841, 3.841], [3.841, 0.000, 3.841], [3.841, 3.841, 0.000]], "species": ["Sm", "In", "Pt", "Pt", "Pt", "Pt"], "frac_coords": [[0.000, 0.000, 0.000], [0.250, 0.250, 0.250], [0.126, 0.625, 0.625], [0.625, 0.126, 0.625], [0.625, 0.625, 0.126], [0.625, 0.625, 0.625]]}



{"formula": "ThZnInIr", "functional": "PBE", "state": "optimized geometry", "sg": "No. 216", "formation_enthalpy_0k_mev_per_atom": -391, "m_tot_mub_per_fu": 0.00, "cell": [[0.000, 3.475, 3.475], [3.475, 0.000, 3.475], [3.475, 3.475, 0.000]], "species": ["Th", "Zn", "In", "Ir"], "frac_coords": [[0.000, 0.000, 0.000], [0.250, 0.250, 0.250], [0.500, 0.500, 0.500], [0.750, 0.750, 0.750]]}



{"formula": "Sm2CuSe3", "functional": "PBE", "state": "optimized geometry", "raw_formation_energy_ev_per_atom": -1.36, "sg": "No. 71", "m_tot_mub_per_fu": 0.00, "cell": [[-1.950, 2.256, 8.173], [1.950, -2.256, 8.173], [1.950, 2.256, -8.173]], "species": ["Sm", "Sm", "Cu", "Se", "Se", "Se"], "frac_coords": [[0.139, 0.139, 0.000], [0.861, 0.861, 0.000], [0.500, 0.500, 0.000], [0.000, 0.500, 0.500], [0.323, 0.323, 0.000], [0.677, 0.677, 0.000]]}



{"formula": "YMg15Cd4", "functional": "PBE", "state": "optimized geometry", "sg": "No. 123", "formation_enthalpy_0k_mev_per_atom": -72, "m_tot_mub_per_fu": 0.00, "cell": [[4.589, 0.000, 0.000], [0.000, 4.589, 0.000], [0.000, 0.000, 21.588]], "species": ["Y", "Mg", "Mg", "Mg", "Mg", "Mg", "Mg", "Mg", "Mg", "Mg", "Mg", "Mg", "Mg", "Mg", "Mg", "Mg", "Cd", "Cd", "Cd", "Cd"], "frac_coords": [[0.000, 0.000, 0.000], [0.000, 0.500, 0.108], [0.000, 0.500, 0.303], [0.000, 0.500, 0.500], [0.000, 0.500, 0.697], [0.000, 0.500, 0.892], [0.500, 0.000, 0.108], [0.500, 0.000, 0.303], [0.500, 0.000, 0.500], [0.500, 0.000, 0.697], [0.500, 0.000, 0.892], [0.500, 0.500, 0.000], [0.500, 0.500, 0.208], [0.500, 0.500, 0.401], [0.500, 0.500, 0.599], [0.500, 0.500, 0.792], [0.000, 0.000, 0.204], [0.000, 0.000, 0.402], [0.000, 0.000, 0.598], [0.000, 0.000, 0.796]]}



{"formula": "Bi2SCl2", "functional": "PBE", "state": "optimized geometry", "raw_formation_energy_ev_per_atom": -0.06, "e_above_lowest_polymorph_ev_per_fu": 1.72, "sg": "No. 139", "m_tot_mub_per_fu": 0.00, "cell": [[-2.188, 2.188, 7.038], [2.188, -2.188, 7.038], [2.188, 2.188, -7.038]], "species": ["Bi", "Bi", "S", "Cl", "Cl"], "frac_coords": [[0.108, 0.108, 0.000], [0.892, 0.892, 0.000], [0.500, 0.500, 0.000], [0.250, 0.750, 0.500], [0.750, 0.250, 0.500]]}